# 1
BaTc2Cl | meta-GGA SCAN | PBEsol geometry

The structure in POSCAR format:
```
BaTc2Cl
1.0
3.176 0.000 0.000
0.000 3.176 0.000
0.000 0.000 8.171
Ba Tc Cl
1 2 1
Direct
0.000 0.000 0.000 Ba
0.000 0.000 0.545 Tc
0.500 0.500 0.687 Tc
0.500 0.500 0.262 Cl
```

Results
DOS(E_F) ... 2.530 states/eV/f.u.
Polymorph energy (0 for the lowest one) ... 0.000 eV/atom
Total moment ... 0.0 μB/cell



# 2
Ba2TcCl | meta-GGA SCAN | PBEsol geometry

The structure in POSCAR format:
```
Ba2TcCl
1.0
4.451 0.000 0.000
0.000 4.451 0.000
0.000 0.000 6.052
Ba Tc Cl
2 1 1
Direct
0.000 0.000 0.000 Ba
0.500 0.500 0.500 Ba
0.000 0.000 0.500 Tc
0.500 0.500 0.000 Cl
```

Results
DOS(E_F) ... 1.728 states/eV/f.u.
Polymorph energy (0 for the lowest one) ... 0.000 eV/atom
Total moment ... 2.1 μB/cell



# 3
Ba2TcCl | meta-GGA SCAN | PBEsol geometry

The structure in POSCAR format:
```
Ba2TcCl
1.0
0.000 3.828 3.828
3.828 0.000 3.828
3.828 3.828 0.000
Ba Tc Cl
2 1 1
Direct
0.000 0.000 0.000 Ba
0.250 0.250 0.250 Ba
0.500 0.500 0.500 Tc
0.750 0.750 0.750 Cl
```

Results
DOS(E_F) ... 4.527 states/eV/f.u.
Polymorph energy (0 for the lowest one) ... 0.724 eV/atom
Total moment ... 2.2 μB/cell